Record 1
BaGe4Pd6: optimized geometry, PBE.

abc: 8.863 9.862 6.597
angles: 90.00 131.41 90.00
Space group Cm (No. 8)
Inequivalent atoms, fractional coordinates:
Ba 0.000 0.000 0.000 [2 per cell]
Ge 0.038 0.500 0.409 [2 per cell]
Ge 0.145 0.000 0.608 [2 per cell]
Ge 0.177 0.299 0.029 [4 per cell]
Pd 0.247 0.244 0.500 [4 per cell]
Pd 0.279 0.500 0.322 [2 per cell]
Pd 0.386 0.150 0.011 [4 per cell]
Pd 0.482 0.000 0.722 [2 per cell]

formation energy	-461	meV/atom
E above lowest polymorph	120	meV/atom

***

Record 2
ScReW: optimized geometry, PBE.

abc: 5.326 5.380 7.523
angles: 90.00 90.00 90.00
Space group Imma (No. 74)
Inequivalent atoms, fractional coordinates:
Sc 0.000 0.250 0.123 [4 per cell]
Re 0.250 0.250 0.750 [4 per cell]
W 0.000 0.000 0.500 [4 per cell]

formation energy	-191	meV/atom
E above lowest polymorph	0	meV/atom

***

Number 1: uncorrected energy -5.15 eV/atom. Number 2: uncorrected energy -10.77 eV/atom.